No. 1
The following is a PBE-GGA calculation of a relaxed In2AsRu crystal, from Alexandria.

abc: 5.0570 5.0570 4.9798
angles: 70.01 70.01 40.79
Last column: nearest neighbours and their distance in Å.
Positions (direct):
Ru 0.7500 0.7500 0.7500  6 In 2.80-3.06, 4 As 3.05
As 0.2500 0.2500 0.2500  6 In 2.90-3.04, 4 Ru 3.05
In 0.0065 0.0065 0.9862  3 Ru 2.80-3.06, 3 As 2.90-3.04, 4 In 2.98-3.13
In 0.4935 0.4935 0.5138  3 Ru 2.80-3.06, 3 As 2.90-3.04, 4 In 2.98-3.13

Output
- N(E_F): 2.08 states/eV/cell
- Final energy: -18.2 eV/f.u.

No. 2
The following is a PBE-GGA calculation of a relaxed InAs2Ru crystal, from Alexandria.

abc: 6.2791 6.2791 6.2791
angles: 152.19 136.67 52.28
Last column: nearest neighbours and their distance in Å.
Positions (direct):
Ru 0.2500 0.7500 0.5000  4 As 2.56, 4 In 2.77
As 0.0661 0.0661 0.0000  2 Ru 2.56
As 0.4339 0.4339 0.0000  2 Ru 2.56
In 0.7500 0.2500 0.5000  4 Ru 2.77, 2 In 3.02

Output
- N(E_F): 2.21 states/eV/cell
- Final energy: -21.2 eV/f.u.

No. 3
The following is a PBE-GGA calculation of a relaxed InAsRu2 crystal, from Alexandria.

abc: 3.2744 3.2744 6.3080
angles: 90.00 90.00 90.00
Last column: nearest neighbours and their distance in Å.
Positions (direct):
Ru 0.0000 0.0000 0.0145  1 As 2.64, 4 In 2.78, 4 Ru 2.86
Ru 0.5000 0.5000 0.2817  4 As 2.50
As 0.0000 0.0000 0.4322  5 Ru 2.50-2.64
In 0.5000 0.5000 0.7716  5 Ru 2.78-3.09

Output
- Energy above the lowest structure with this stoichiometry: 208.2 meV/atom
- N(E_F): 3.82 states/eV/cell
- Final energy: -25.3 eV/f.u.

No. 4
The following is a PBE-GGA calculation of a relaxed InAs4Ru crystal, from Alexandria.

abc: 5.5581 5.5581 5.5581
angles: 60.00 60.00 60.00
Last column: nearest neighbours and their distance in Å.
Positions (direct):
In 0.7500 0.7500 0.7500  12 As 3.26, 4 Ru 3.40
As 0.8766 0.3745 0.3745  6 As 2.77-2.79
As 0.3745 0.3745 0.8766  6 As 2.77-2.79
As 0.3745 0.8766 0.3745  6 As 2.77-2.79
As 0.3745 0.3745 0.3745  6 As 2.77-2.79
Ru 0.0000 0.0000 0.0000  12 As 3.26, 4 In 3.40

Output
- N(E_F): 4.83 states/eV/cell
- Final energy: -26.5 eV/f.u.

No. 5
The following is a PBE-GGA calculation of a relaxed In2AsRu crystal, from Alexandria.

abc: 3.5072 3.4488 7.1638
angles: 61.70 90.00 90.00
Last column: nearest neighbours and their distance in Å.
Positions (direct):
Ru 0.5000 0.2500 0.2500  8 In 2.87, 2 As 3.15
As 0.5000 0.7500 0.7500  8 In 2.96-2.99, 2 Ru 3.15
In 0.0000 0.9828 0.0155  4 Ru 2.87, 1 In 2.96, 4 As 2.96-2.99
In 0.0000 0.5172 0.4845  4 Ru 2.87, 1 In 2.96, 4 As 2.96-2.99

Output
- N(E_F): 2.07 states/eV/cell
- Final energy: -18.5 eV/f.u.

No. 6
The following is a PBE-GGA calculation of a relaxed InAs2Ru crystal, from Alexandria.

abc: 5.9487 5.9487 7.0975
angles: 65.22 65.22 90.00
Last column: nearest neighbours and their distance in Å.
Positions (direct):
Ru 0.5000 0.5000 0.0000  4 As 2.37
Ru 0.2500 0.7500 0.5000  4 As 2.37
As 0.5708 0.1250 0.2500  2 Ru 2.37
As 0.1792 0.6250 0.2500  2 Ru 2.37
As 0.3750 0.4292 0.7500  2 Ru 2.37
As 0.8750 0.8208 0.7500  2 Ru 2.37
In 0.0000 0.0000 0.0000  4 As 2.74
In 0.7500 0.2500 0.5000  4 As 2.74

Output
- N(E_F): 7.35 states/eV/cell
- Final energy: -21.0 eV/f.u.

No. 7
The following is a PBE-GGA calculation of a relaxed InAs2Ru crystal, from Alexandria.

abc: 3.0052 3.0052 8.9336
angles: 90.00 90.00 89.95
Last column: nearest neighbours and their distance in Å.
Positions (direct):
Ru 0.5000 0.5000 0.7500  8 As 2.64
As 0.0000 0.0000 0.9260  4 Ru 2.64
As 0.0000 0.0000 0.5740  4 Ru 2.64
In 0.5000 0.5000 0.2500  4 In 3.01

Output
- N(E_F): 2.62 states/eV/cell
- Final energy: -21.5 eV/f.u.

No. 8
The following is a PBE-GGA calculation of a relaxed InAsRu2 crystal, from Alexandria.

abc: 7.0466 7.0466 5.7521
angles: 52.23 52.23 90.00
Last column: nearest neighbours and their distance in Å.
Positions (direct):
Ru 0.5661 0.1250 0.2500  2 As 2.33
Ru 0.1840 0.6250 0.2500  2 As 2.33
Ru 0.3750 0.4340 0.7500  2 As 2.33
Ru 0.8750 0.8161 0.7500  2 As 2.33
As 0.5000 0.5000 0.0000  4 Ru 2.33
As 0.2500 0.7500 0.5000  4 Ru 2.33
In 0.0000 0.0000 0.0000  2 As 2.87, 8 Ru 2.89-3.09
In 0.7500 0.2500 0.5000  2 As 2.87, 8 Ru 2.89-3.09

Output
- Energy above the lowest structure with this stoichiometry: 353.3 meV/atom
- N(E_F): 0.97 states/eV/cell
- Final energy: -24.7 eV/f.u.

Which of these has the lowest N(E_F)?
number 8

Look up the final energy of the sixth one.
-21.0 eV/f.u.

Which of these has the lowest final energy?
InAs4Ru

final energy of number 6 (InAs2Ru)?
-21.0 eV/f.u.